1.
# Nd2P2Pd3

A relaxed structure of Nd2P2Pd3 (GGA-PBE, Alexandria via LeMat-Bulk).

Calculated formation energy, eV/atom: -0.9618
Symmetry: C2/m, No. 12

a b c (Å): 4.0387 5.4943 7.0670
angles (deg): 112.95 90.00 111.56
Positions (direct):
Pd  0.6301  0.2601  0.4366
Pd  0.3699  0.7399  0.5634
Pd  0.5000  0.0000  0.0000
P  0.8467  0.6934  0.7852
P  0.1533  0.3066  0.2148
Nd  0.1333  0.2667  0.7694
Nd  0.8667  0.7333  0.2306

2.
# NdP3Pd5

A relaxed structure of NdP3Pd5 (GGA-PBE, Alexandria via LeMat-Bulk).

Calculated formation energy, eV/atom: -0.6694
Symmetry: Cmcm, No. 63

a b c (Å): 3.8396 6.6968 12.4432
angles (deg): 90.00 90.00 106.66
Positions (direct):
Pd  0.7823  0.5646  0.0823
Pd  0.2177  0.4354  0.5823
Pd  0.5656  0.1311  0.8566
Pd  0.0000  0.0000  0.0000
Pd  0.4344  0.8689  0.3566
Pd  0.7823  0.5646  0.4177
Pd  0.4344  0.8689  0.1434
Pd  0.2177  0.4354  0.9177
Pd  0.0000  0.0000  0.5000
Pd  0.5656  0.1311  0.6434
P  0.3921  0.7842  0.5524
P  0.8696  0.7393  0.2500
P  0.6079  0.2158  0.0524
P  0.1304  0.2607  0.7500
P  0.6079  0.2158  0.4476
P  0.3921  0.7842  0.9476
Nd  0.1336  0.2672  0.2500
Nd  0.8664  0.7328  0.7500

3.
# Nd2PPd3

A relaxed structure of Nd2PPd3 (GGA-PBE, Alexandria via LeMat-Bulk).

Calculated formation energy, eV/atom: -0.9387
Symmetry: Fmmm, No. 69

a b c (Å): 5.8101 5.8101 8.7826
angles (deg): 111.70 111.70 83.23
Positions (direct):
Pd  0.3512  0.3512  0.1752
Pd  0.1781  0.1781  0.3563
Pd  0.6488  0.6488  0.8248
Pd  0.1759  0.1759  0.8248
Pd  0.8219  0.8219  0.6437
Pd  0.8241  0.8241  0.1752
Nd  0.7546  0.2454  0.0000
Nd  0.2454  0.7546  0.0000
Nd  0.7500  0.2500  0.5000
Nd  0.2500  0.7500  0.5000
P  0.6656  0.6656  0.3312
P  0.3344  0.3344  0.6688

4.
# NdPPd

A relaxed structure of NdPPd (GGA-PBE, Alexandria via LeMat-Bulk).

Calculated formation energy, eV/atom: -0.7193
Symmetry: I4mm, No. 107

a b c (Å): 4.0130 4.0130 4.9740
angles (deg): 113.79 113.79 90.00
Positions (direct):
Nd  0.6192  0.6192  0.2384
P  0.9689  0.9689  0.9377
Pd  0.2620  0.2620  0.5239

5.
# NdPPd2

A relaxed structure of NdPPd2 (GGA-PBE, Alexandria via LeMat-Bulk).

Calculated formation energy, eV/atom: -0.9269
Symmetry: Cmcm, No. 63

a b c (Å): 4.0398 4.1565 9.4042
angles (deg): 90.00 102.40 90.00
Positions (direct):
P  0.1741  0.2500  0.3482
P  0.8259  0.7500  0.6518
Pd  0.9540  0.7500  0.9080
Pd  0.7482  0.2500  0.4963
Pd  0.2518  0.7500  0.5037
Pd  0.0460  0.2500  0.0920
Nd  0.6096  0.7500  0.2191
Nd  0.3904  0.2500  0.7809

6.
# Nd3P6Pd20

A relaxed structure of Nd3P6Pd20 (GGA-PBE, Alexandria via LeMat-Bulk).

Calculated formation energy, eV/atom: -0.6925
Symmetry: Fm-3m, No. 225

a b c (Å): 8.7418 8.7418 8.7418
angles (deg): 60.00 60.00 60.00
Positions (direct):
P  0.2626  0.7374  0.7374
P  0.2626  0.7374  0.2626
P  0.7374  0.2626  0.7374
P  0.2626  0.2626  0.7374
P  0.7374  0.2626  0.2626
P  0.7374  0.7374  0.2626
Pd  0.0000  0.3468  0.0000
Pd  0.3468  0.6532  0.0000
Pd  0.3861  0.8418  0.3861
Pd  0.0000  0.0000  0.6532
Pd  0.3468  0.0000  0.0000
Pd  0.6139  0.1582  0.6139
Pd  0.0000  0.0000  0.3468
Pd  0.0000  0.6532  0.3468
Pd  0.0000  0.3468  0.6532
Pd  0.6139  0.6139  0.1582
Pd  0.6139  0.6139  0.6139
Pd  0.1582  0.6139  0.6139
Pd  0.8418  0.3861  0.3861
Pd  0.3861  0.3861  0.3861
Pd  0.3468  0.0000  0.6532
Pd  0.6532  0.3468  0.0000
Pd  0.6532  0.0000  0.3468
Pd  0.3861  0.3861  0.8418
Pd  0.6532  0.0000  0.0000
Pd  0.0000  0.6532  0.0000
Nd  0.0000  0.0000  0.0000
Nd  0.2500  0.2500  0.2500
Nd  0.7500  0.7500  0.7500

7.
# NdP2Pd

A relaxed structure of NdP2Pd (GGA-PBE, Alexandria via LeMat-Bulk).

Offset from the most stable computed form, meV per atom: 0
Calculated formation energy, eV/atom: -1.0045
Symmetry: I-4m2, No. 119

a b c (Å): 4.0264 4.0277 5.6717
angles (deg): 110.81 110.80 89.99
Positions (direct):
P  0.6076  0.2672  0.0000
P  0.8352  0.4949  0.4561
Nd  0.2214  0.8813  0.2283
Pd  0.4711  0.6313  0.7282

8.
# Nd2P4Pd3

A relaxed structure of Nd2P4Pd3 (GGA-PBE, Alexandria via LeMat-Bulk).

Calculated formation energy, eV/atom: -0.8493
Symmetry: Cmce, No. 64

a b c (Å): 5.6967 7.3597 8.2034
angles (deg): 90.00 110.32 90.00
Positions (direct):
Pd  0.0388  0.7500  0.5777
Pd  0.0000  0.0000  0.0000
Pd  0.5000  0.5000  0.0000
Pd  0.9612  0.2500  0.4223
Pd  0.4612  0.2500  0.4223
Pd  0.5388  0.7500  0.5777
Nd  0.6133  0.9150  0.2266
Nd  0.1133  0.5850  0.2266
Nd  0.8867  0.4150  0.7734
Nd  0.3867  0.0850  0.7734
P  0.3052  0.4560  0.6105
P  0.1948  0.9560  0.3895
P  0.7990  0.2500  0.0980
P  0.8052  0.0440  0.6105
P  0.2990  0.2500  0.0980
P  0.7010  0.7500  0.9020
P  0.6948  0.5440  0.3895
P  0.2010  0.7500  0.9020

9.
# Nd3P4Pd4

A relaxed structure of Nd3P4Pd4 (GGA-PBE, Alexandria via LeMat-Bulk).

Offset from the most stable computed form, meV per atom: 0
Calculated formation energy, eV/atom: -1.1137
Symmetry: Immm, No. 71

a b c (Å): 4.1400 4.1189 12.6055
angles (deg): 99.40 99.45 90.00
Positions (direct):
P  0.8088  0.3088  0.6175
P  0.5470  0.5470  0.0939
P  0.1912  0.6912  0.3825
P  0.4530  0.4530  0.9061
Pd  0.0941  0.5941  0.1882
Pd  0.2517  0.2517  0.5033
Pd  0.7483  0.7483  0.4967
Pd  0.9059  0.4059  0.8118
Nd  0.0000  0.0000  0.0000
Nd  0.6495  0.1495  0.2989
Nd  0.3505  0.8505  0.7011

10.
# Nd2P4Pd5

A relaxed structure of Nd2P4Pd5 (GGA-PBE, Alexandria via LeMat-Bulk).

Calculated formation energy, eV/atom: -0.7263
Symmetry: Fmmm, No. 69

a b c (Å): 5.7105 5.8183 7.4888
angles (deg): 79.22 67.59 60.61
Positions (direct):
P  0.4806  0.2996  0.7392
P  0.2198  0.2996  0.2608
P  0.5194  0.7004  0.2608
P  0.7802  0.7004  0.7392
Pd  0.0000  0.5000  0.0000
Pd  0.7500  0.5000  0.5000
Pd  0.5000  0.5000  0.0000
Pd  0.2500  0.5000  0.5000
Pd  0.5000  0.0000  0.0000
Nd  0.1462  0.0000  0.7077
Nd  0.8538  0.0000  0.2923

11.
# NdPPd6

A relaxed structure of NdPPd6 (GGA-PBE, Alexandria via LeMat-Bulk).

Calculated formation energy, eV/atom: -0.4634
Symmetry: R-3m, No. 166

a b c (Å): 5.7029 5.7029 6.4160
angles (deg): 63.61 63.61 60.00
Positions (direct):
Pd  0.0893  0.5651  0.2562
Pd  0.9107  0.4349  0.7438
Pd  0.4349  0.9107  0.7438
Pd  0.0893  0.0893  0.2562
Pd  0.5651  0.0893  0.2562
Pd  0.9107  0.9107  0.7438
Nd  0.5000  0.5000  0.5000
P  0.0000  0.0000  0.0000

12.
# Nd3P3Pd2

A relaxed structure of Nd3P3Pd2 (GGA-PBE, Alexandria via LeMat-Bulk).

Calculated formation energy, eV/atom: -1.1270
Symmetry: Cmcm, No. 63

a b c (Å): 4.1816 5.8945 14.3182
angles (deg): 90.00 90.00 110.78
Each line ends with the local moment (μB).
Positions (direct):
Nd  0.9247  0.8493  0.3919  0.05
Nd  0.6410  0.2820  0.2500  0.10
Nd  0.0753  0.1507  0.8919  0.05
Nd  0.0753  0.1507  0.6081  0.05
Nd  0.3590  0.7180  0.7500  0.10
Nd  0.9247  0.8493  0.1081  0.05
Pd  0.7794  0.5589  0.5947  0.01
Pd  0.2206  0.4411  0.0947  0.01
Pd  0.7794  0.5589  0.9053  0.01
Pd  0.2206  0.4411  0.4053  0.01
P  0.3468  0.6937  0.2500  -0.01
P  0.6532  0.3063  0.7500  -0.01
P  0.6227  0.2454  0.4519  -0.01
P  0.6227  0.2454  0.0481  -0.01
P  0.3773  0.7546  0.9519  -0.01
P  0.3773  0.7546  0.5481  -0.01